Entry from Alexandria via LeMat-Bulk: an optimized crystal structure of Cs4Pr3CoO8 (GGA+U).

Summary:
Calculated total energy = -5.906 eV/atom

Cell: 7.4837 7.4837 7.9483 Å, 114.72 114.72 56.67°
Closest atoms and distances in Å follow each position.
Element x y z (fractional)
Cs  0.0000  0.0000  0.0000  2 O 2.76
Cs  0.0000  0.5000  0.0000  4 O 2.99-3.03
Cs  0.5000  0.0000  0.0000  4 O 2.99-3.03
Cs  0.5000  0.5000  0.0000  4 O 3.06
Pr  0.0000  0.0000  0.5000  6 O 2.43-2.50
Pr  0.0000  0.5000  0.5000  6 O 2.37-2.55
Pr  0.5000  0.0000  0.5000  6 O 2.37-2.55
Co  0.5000  0.5000  0.5000  4 O 2.01
O  0.2098  0.2098  0.6707  3 Pr 2.43-2.44
O  0.2261  0.2261  0.2875  2 Pr 2.37
O  0.2612  0.6742  0.6407  1 Co 2.01
O  0.3258  0.7388  0.3593  1 Co 2.01
O  0.6742  0.2612  0.6407  1 Co 2.01
O  0.7388  0.3258  0.3593  1 Co 2.01
O  0.7739  0.7739  0.7125  2 Pr 2.37
O  0.7902  0.7902  0.3293  3 Pr 2.43-2.44

=====

Entry from Alexandria via LeMat-Bulk: an optimized crystal structure of Cs2PrCoO4 (GGA+U).

Summary:
Calculated total energy = -5.671 eV/atom

Cell: 6.2200 7.2306 10.1066 Å, 69.40 77.95 75.28°
Closest atoms and distances in Å follow each position.
Element x y z (fractional)
Cs  0.1516  0.2117  0.0650  3 O 2.91-3.16
Cs  0.2105  0.9987  0.6029  4 O 2.82-3.12
Cs  0.7895  0.0013  0.3971  4 O 2.82-3.12
Cs  0.8484  0.7883  0.9350  3 O 2.91-3.16
Pr  0.3759  0.5161  0.3416  5 O 2.28-2.43
Pr  0.6241  0.4839  0.6584  5 O 2.28-2.43
Co  0.1051  0.4575  0.7058  4 O 1.86-1.91
Co  0.8949  0.5425  0.2942  4 O 1.86-1.91
O  0.0688  0.7406  0.2519  1 Co 1.89
O  0.1362  0.3258  0.3166  1 Co 1.86
O  0.2767  0.5473  0.7924  1 Co 1.86
O  0.3570  0.3507  0.5910  1 Co 1.91
O  0.6430  0.6493  0.4090  1 Co 1.91
O  0.7233  0.4527  0.2076  1 Co 1.86
O  0.8638  0.6742  0.6834  1 Co 1.86
O  0.9312  0.2594  0.7481  1 Co 1.89

=====

Entry from Alexandria via LeMat-Bulk: an optimized crystal structure of Cs2PuCoO4 (GGA+U).

Summary:
Calculated total energy = -6.832 eV/atom
D(E_F) = 5.738 states/eV/f.u.

Cell: 5.8754 3.5443 7.0788 Å, 90.00 106.44 90.00°
Closest atoms and distances in Å follow each position.
Element x y z (fractional)
Cs  0.0000  0.0000  0.0000  6 O 2.98-3.07
Cs  0.5000  0.5000  0.0000  6 O 3.04-3.08
Pu  0.0000  0.5000  0.5000  6 O 2.20-2.30
Co  0.5000  0.0000  0.5000  6 O 2.29-2.31
O  0.2172  0.0000  0.6668  1 Co 2.29, 2 Pu 2.30
O  0.2733  0.5000  0.3427  1 Pu 2.20, 2 Co 2.31
O  0.7267  0.5000  0.6573  1 Pu 2.20, 2 Co 2.31
O  0.7828  0.0000  0.3332  1 Co 2.29, 2 Pu 2.30